# 1
{"formula": "Pm2DyPu", "functional": "PBE", "state": "relaxed", "cell": [[5.0361, 0.0000, 0.0000], [0.0000, 5.0361, 0.0000], [0.0000, 0.0000, 5.0202]], "species": ["Pm", "Pm", "Dy", "Pu"], "fractional_positions": [[0.0000, 0.5000, 0.0000], [0.5000, 0.0000, 0.0000], [0.0000, 0.0000, 0.5000], [0.5000, 0.5000, 0.5000]], "ef_ev_per_atom": 0.1485, "polymorph_energy_kcal_per_mol_atoms": 0.87, "sg": "P4/mmm"}



# 2
{"formula": "Pm6Dy3Pu", "functional": "PBE", "state": "relaxed", "cell": [[6.1670, 0.0000, 0.0000], [0.0000, 9.3480, 0.0000], [-5.9839, 0.0000, 11.5208]], "species": ["Pm", "Pm", "Pm", "Pm", "Pm", "Pm", "Pm", "Pm", "Pm", "Pm", "Pm", "Pm", "Dy", "Dy", "Dy", "Dy", "Dy", "Dy", "Pu", "Pu"], "fractional_positions": [[0.0654, 0.1636, 0.0713], [0.0654, 0.3364, 0.5713], [0.3831, 0.0183, 0.7434], [0.3831, 0.4817, 0.2434], [0.4166, 0.1590, 0.4304], [0.4166, 0.3410, 0.9304], [0.5834, 0.6590, 0.0696], [0.5834, 0.8410, 0.5696], [0.6169, 0.5183, 0.7566], [0.6169, 0.9817, 0.2566], [0.9346, 0.6636, 0.4287], [0.9346, 0.8364, 0.9287], [0.1268, 0.6665, 0.7492], [0.1268, 0.8335, 0.2492], [0.5000, 0.0000, 0.0000], [0.5000, 0.5000, 0.5000], [0.8732, 0.1665, 0.7508], [0.8732, 0.3335, 0.2508], [0.0000, 0.0000, 0.5000], [0.0000, 0.5000, 0.0000]], "ef_ev_per_atom": 0.2249, "sg": "P2_1/c"}



# 3
{"formula": "Pm2Dy5Pu", "functional": "PBE", "state": "relaxed", "cell": [[6.6479, 0.0000, 0.0000], [0.3356, 6.6491, 0.0000], [2.6164, 2.4585, 11.5656]], "species": ["Pm", "Pm", "Pm", "Pm", "Dy", "Dy", "Dy", "Dy", "Dy", "Dy", "Dy", "Dy", "Dy", "Dy", "Pu", "Pu"], "fractional_positions": [[0.0000, 0.0000, 0.0000], [0.0000, 0.0000, 0.5000], [0.0000, 0.5000, 0.0000], [0.5000, 0.0000, 0.5000], [0.2353, 0.7662, 0.7503], [0.2388, 0.5120, 0.5168], [0.2442, 0.3850, 0.2578], [0.3831, 0.2461, 0.7578], [0.4888, 0.7611, 0.9834], [0.5112, 0.2389, 0.0166], [0.6169, 0.7539, 0.2422], [0.7558, 0.6150, 0.7422], [0.7612, 0.4880, 0.4832], [0.7647, 0.2338, 0.2497], [0.1302, 0.8719, 0.2499], [0.8698, 0.1281, 0.7501]], "ef_ev_per_atom": 0.1810, "sg": "P-1"}



# 4
{"formula": "Pm2DyPu", "functional": "PBE", "state": "relaxed", "cell": [[1.7952, 1.0365, 11.5278], [-1.7952, 1.0365, 11.5278], [0.0000, -2.0729, 11.5278]], "species": ["Pm", "Pm", "Dy", "Pu"], "fractional_positions": [[0.0000, 0.0000, 0.0000], [0.1686, 0.1686, 0.1686], [0.4178, 0.4178, 0.4178], [0.5843, 0.5843, 0.5843]], "ef_ev_per_atom": 0.1175, "polymorph_energy_kcal_per_mol_atoms": 0.16, "sg": "R3m"}



# 5
{"formula": "Pm5Dy6Pu", "functional": "PBE", "state": "relaxed", "cell": [[2.5309, -7.6059, 0.0000], [2.5309, 7.6059, 0.0000], [0.0000, 0.0000, 10.0636]], "species": ["Pm", "Pm", "Pm", "Pm", "Pm", "Dy", "Dy", "Dy", "Dy", "Dy", "Dy", "Pu"], "fractional_positions": [[0.0000, 0.0000, 0.0000], [0.3330, 0.6670, 0.0000], [0.3362, 0.6638, 0.5000], [0.6638, 0.3362, 0.5000], [0.6670, 0.3330, 0.0000], [0.1648, 0.8352, 0.2537], [0.1648, 0.8352, 0.7463], [0.5000, 0.5000, 0.2539], [0.5000, 0.5000, 0.7461], [0.8352, 0.1648, 0.2537], [0.8352, 0.1648, 0.7463], [0.0000, 0.0000, 0.5000]], "ef_ev_per_atom": 0.0462, "sg": "Cmmm"}



# 6
{"formula": "Pm9Dy4Pu", "functional": "PBE", "state": "relaxed", "cell": [[9.8661, 0.0000, 0.0000], [-4.9331, 8.5443, 0.0000], [0.0000, 0.0000, 11.2074]], "species": ["Pm", "Pm", "Pm", "Pm", "Pm", "Pm", "Pm", "Pm", "Pm", "Pm", "Pm", "Pm", "Pm", "Pm", "Pm", "Pm", "Pm", "Pm", "Dy", "Dy", "Dy", "Dy", "Dy", "Dy", "Dy", "Dy", "Pu", "Pu"], "fractional_positions": [[0.0724, 0.5362, 0.2500], [0.2090, 0.4179, 0.5354], [0.2090, 0.4179, 0.9646], [0.2090, 0.7910, 0.5354], [0.2090, 0.7910, 0.9646], [0.4179, 0.2090, 0.0354], [0.4179, 0.2090, 0.4646], [0.4638, 0.5362, 0.2500], [0.4638, 0.9276, 0.2500], [0.5362, 0.0724, 0.7500], [0.5362, 0.4638, 0.7500], [0.5821, 0.7910, 0.5354], [0.5821, 0.7910, 0.9646], [0.7910, 0.2090, 0.0354], [0.7910, 0.2090, 0.4646], [0.7910, 0.5821, 0.0354], [0.7910, 0.5821, 0.4646], [0.9276, 0.4638, 0.7500], [0.0000, 0.0000, 0.0000], [0.0000, 0.0000, 0.5000], [0.1116, 0.2232, 0.2500], [0.1116, 0.8884, 0.2500], [0.2232, 0.1116, 0.7500], [0.7768, 0.8884, 0.2500], [0.8884, 0.1116, 0.7500], [0.8884, 0.7768, 0.7500], [0.3333, 0.6667, 0.7500], [0.6667, 0.3333, 0.2500]], "ef_ev_per_atom": 0.1636, "sg": "P6_3/mmc"}



# 7
{"formula": "Pm12Dy3Pu", "functional": "PBE", "state": "relaxed", "cell": [[5.1165, 0.0000, 0.0000], [0.0000, 5.1165, 0.0000], [0.0000, 0.0000, 20.4305]], "species": ["Pm", "Pm", "Pm", "Pm", "Pm", "Pm", "Pm", "Pm", "Pm", "Pm", "Pm", "Pm", "Dy", "Dy", "Dy", "Pu"], "fractional_positions": [[0.0000, 0.0000, 0.0000], [0.0000, 0.0000, 0.2497], [0.0000, 0.0000, 0.5000], [0.0000, 0.0000, 0.7503], [0.0000, 0.5000, 0.1226], [0.0000, 0.5000, 0.3743], [0.0000, 0.5000, 0.6257], [0.0000, 0.5000, 0.8774], [0.5000, 0.0000, 0.1226], [0.5000, 0.0000, 0.3743], [0.5000, 0.0000, 0.6257], [0.5000, 0.0000, 0.8774], [0.5000, 0.5000, 0.2493], [0.5000, 0.5000, 0.5000], [0.5000, 0.5000, 0.7507], [0.5000, 0.5000, 0.0000]], "ef_ev_per_atom": 0.0437, "sg": "P4/mmm"}



# 8
{"formula": "Pm10Dy4Pu", "functional": "PBE", "state": "relaxed", "cell": [[-4.9104, 4.9104, 5.2855], [4.9104, -4.9104, 5.2855], [4.9104, 4.9104, -5.2855]], "species": ["Pm", "Pm", "Pm", "Pm", "Pm", "Pm", "Pm", "Pm", "Pm", "Pm", "Dy", "Dy", "Dy", "Dy", "Pu"], "fractional_positions": [[0.0434, 0.3697, 0.0962], [0.0528, 0.9566, 0.3262], [0.2500, 0.7500, 0.5000], [0.2734, 0.9472, 0.9038], [0.3697, 0.2734, 0.3262], [0.6303, 0.7266, 0.6738], [0.7266, 0.0528, 0.0962], [0.7500, 0.2500, 0.5000], [0.9472, 0.0434, 0.6738], [0.9566, 0.6303, 0.9038], [0.1742, 0.4408, 0.6149], [0.4408, 0.8258, 0.2666], [0.5592, 0.1742, 0.7334], [0.8258, 0.5592, 0.3851], [0.5000, 0.5000, 0.0000]], "ef_ev_per_atom": 0.3519, "sg": "I4/m"}



# 9
{"formula": "Pm2DyPu", "functional": "PBE", "state": "relaxed", "cell": [[3.5476, 0.0000, 0.0000], [0.0000, 3.5476, 0.0000], [0.0000, 0.0000, 10.1576]], "species": ["Pm", "Pm", "Dy", "Pu"], "fractional_positions": [[0.0000, 0.0000, 0.2456], [0.0000, 0.0000, 0.7544], [0.5000, 0.5000, 0.5000], [0.5000, 0.5000, 0.0000]], "ef_ev_per_atom": 0.1107, "polymorph_energy_kcal_per_mol_atoms": 0.00, "sg": "P4/mmm"}



# 10
{"formula": "PmDy6Pu", "functional": "PBE", "state": "relaxed", "cell": [[5.6834, 0.0000, 0.0000], [0.0000, 3.5809, 6.1940], [0.0000, -3.5809, 6.1940]], "species": ["Pm", "Dy", "Dy", "Dy", "Dy", "Dy", "Dy", "Pu"], "fractional_positions": [[0.0000, 0.0000, 0.0000], [0.0000, 0.0016, 0.5009], [0.0000, 0.5009, 0.0016], [0.5000, 0.1676, 0.1676], [0.5000, 0.1738, 0.6641], [0.5000, 0.6641, 0.1738], [0.5000, 0.6652, 0.6652], [0.0000, 0.5006, 0.5006]], "ef_ev_per_atom": 0.0689, "sg": "Amm2"}



# 11
{"formula": "Pm4Dy6Pu", "functional": "PBE", "state": "relaxed", "cell": [[6.0605, 3.4990, 5.7423], [-6.0605, 3.4990, 5.7423], [0.0000, -6.9981, 5.7423]], "species": ["Pm", "Pm", "Pm", "Pm", "Pm", "Pm", "Pm", "Pm", "Dy", "Dy", "Dy", "Dy", "Dy", "Dy", "Dy", "Dy", "Dy", "Dy", "Dy", "Dy", "Pu", "Pu"], "fractional_positions": [[0.1556, 0.7500, 0.3444], [0.2500, 0.2500, 0.2500], [0.2500, 0.6556, 0.8444], [0.3444, 0.1556, 0.7500], [0.6556, 0.8444, 0.2500], [0.7500, 0.3444, 0.1556], [0.7500, 0.7500, 0.7500], [0.8444, 0.2500, 0.6556], [0.0530, 0.3363, 0.9305], [0.0695, 0.9470, 0.6637], [0.1637, 0.4470, 0.5695], [0.3363, 0.9305, 0.0530], [0.4305, 0.8363, 0.5530], [0.4470, 0.5695, 0.1637], [0.5530, 0.4305, 0.8363], [0.5695, 0.1637, 0.4470], [0.6637, 0.0695, 0.9470], [0.8363, 0.5530, 0.4305], [0.9305, 0.0530, 0.3363], [0.9470, 0.6637, 0.0695], [0.0000, 0.0000, 0.0000], [0.5000, 0.5000, 0.5000]], "ef_ev_per_atom": 0.3531, "sg": "R-3c"}



# 12
{"formula": "Pm7Dy12Pu", "functional": "PBE", "state": "relaxed", "cell": [[-5.6573, 5.6573, 5.6573], [5.6573, -5.6573, 5.6573], [5.6573, 5.6573, -5.6573]], "species": ["Pm", "Pm", "Pm", "Pm", "Pm", "Pm", "Pm", "Dy", "Dy", "Dy", "Dy", "Dy", "Dy", "Dy", "Dy", "Dy", "Dy", "Dy", "Dy", "Pu"], "fractional_positions": [[0.0000, 0.0000, 0.5000], [0.0000, 0.5000, 0.0000], [0.0000, 0.5000, 0.5000], [0.5000, 0.0000, 0.0000], [0.5000, 0.0000, 0.5000], [0.5000, 0.5000, 0.0000], [0.5000, 0.5000, 0.5000], [0.0008, 0.2451, 0.7556], [0.2444, 0.4895, 0.2451], [0.2444, 0.9992, 0.7549], [0.2451, 0.2444, 0.4895], [0.2451, 0.7556, 0.0008], [0.4895, 0.2451, 0.2444], [0.5105, 0.7549, 0.7556], [0.7549, 0.2444, 0.9992], [0.7549, 0.7556, 0.5105], [0.7556, 0.0008, 0.2451], [0.7556, 0.5105, 0.7549], [0.9992, 0.7549, 0.2444], [0.0000, 0.0000, 0.0000]], "ef_ev_per_atom": 0.6762, "sg": "Im-3"}



# 13
{"formula": "Pm8Dy5Pu", "functional": "PBE", "state": "relaxed", "cell": [[7.2675, -4.4590, 0.0000], [7.2675, 4.4590, 0.0000], [-5.8766, 0.0000, 7.3380]], "species": ["Pm", "Pm", "Pm", "Pm", "Pm", "Pm", "Pm", "Pm", "Dy", "Dy", "Dy", "Dy", "Dy", "Pu"], "fractional_positions": [[0.0347, 0.0347, 0.3633], [0.0941, 0.4085, 0.8214], [0.2351, 0.4015, 0.2883], [0.4763, 0.1272, 0.5716], [0.5915, 0.9059, 0.1786], [0.5985, 0.7649, 0.7117], [0.8728, 0.5237, 0.4284], [0.9653, 0.9653, 0.6367], [0.0374, 0.9626, 0.0000], [0.3265, 0.6009, 0.7745], [0.3991, 0.6735, 0.2255], [0.5809, 0.2163, 0.0443], [0.7837, 0.4191, 0.9557], [0.6817, 0.3183, 0.5000]], "ef_ev_per_atom": 0.2188, "sg": "C2"}



# 14
{"formula": "Pm12Dy5Pu", "functional": "PBE", "state": "relaxed", "cell": [[5.5828, -8.9843, 0.0000], [5.5828, 8.9843, 0.0000], [-0.0056, 0.0000, 5.9756]], "species": ["Pm", "Pm", "Pm", "Pm", "Pm", "Pm", "Pm", "Pm", "Pm", "Pm", "Pm", "Pm", "Dy", "Dy", "Dy", "Dy", "Dy", "Pu"], "fractional_positions": [[0.0031, 0.6737, 0.9968], [0.1573, 0.1573, 0.4969], [0.1707, 0.5025, 0.5031], [0.3263, 0.9969, 0.0032], [0.3367, 0.3367, 0.9968], [0.4975, 0.8293, 0.4969], [0.5025, 0.1707, 0.5031], [0.6633, 0.6633, 0.0032], [0.6737, 0.0031, 0.9968], [0.8293, 0.4975, 0.4969], [0.8427, 0.8427, 0.5031], [0.9969, 0.3263, 0.0032], [0.1687, 0.8313, 0.5000], [0.3326, 0.6674, 0.0000], [0.5000, 0.5000, 0.5000], [0.6674, 0.3326, 0.0000], [0.8313, 0.1687, 0.5000], [0.0000, 0.0000, 0.0000]], "ef_ev_per_atom": 0.1270, "sg": "C2/m"}



# 15
{"formula": "Pm12Dy6Pu", "functional": "PBE", "state": "relaxed", "cell": [[7.8556, 4.5354, 2.9440], [-7.8556, 4.5354, 2.9440], [0.0000, -9.0709, 2.9440]], "species": ["Pm", "Pm", "Pm", "Pm", "Pm", "Pm", "Pm", "Pm", "Pm", "Pm", "Pm", "Pm", "Dy", "Dy", "Dy", "Dy", "Dy", "Dy", "Pu"], "fractional_positions": [[0.0566, 0.3718, 0.5810], [0.1041, 0.7396, 0.1556], [0.1556, 0.1041, 0.7396], [0.2604, 0.8444, 0.8959], [0.3718, 0.5810, 0.0566], [0.4190, 0.9434, 0.6282], [0.5810, 0.0566, 0.3718], [0.6282, 0.4190, 0.9434], [0.7396, 0.1556, 0.1041], [0.8444, 0.8959, 0.2604], [0.8959, 0.2604, 0.8444], [0.9434, 0.6282, 0.4190], [0.2115, 0.4696, 0.3150], [0.3150, 0.2115, 0.4696], [0.4696, 0.3150, 0.2115], [0.5304, 0.6850, 0.7885], [0.6850, 0.7885, 0.5304], [0.7885, 0.5304, 0.6850], [0.0000, 0.0000, 0.0000]], "ef_ev_per_atom": 0.0351, "sg": "R-3"}



# 16
{"formula": "Pm14DyPu", "functional": "PBE", "state": "relaxed", "cell": [[10.2286, 0.0000, 0.0000], [0.0000, 5.1411, 5.1397], [0.0000, -5.1411, 5.1397]], "species": ["Pm", "Pm", "Pm", "Pm", "Pm", "Pm", "Pm", "Pm", "Pm", "Pm", "Pm", "Pm", "Pm", "Pm", "Dy", "Pu"], "fractional_positions": [[0.0000, 0.9998, 0.9998], [0.0000, 0.9996, 0.5002], [0.0000, 0.5002, 0.9996], [0.0000, 0.5000, 0.5000], [0.2534, 0.2486, 0.2486], [0.2539, 0.2485, 0.7512], [0.2539, 0.7512, 0.2485], [0.2544, 0.7512, 0.7512], [0.5000, 0.0002, 0.4994], [0.5000, 0.4994, 0.0002], [0.7461, 0.2485, 0.7512], [0.7461, 0.7512, 0.2485], [0.7456, 0.7512, 0.7512], [0.7466, 0.2486, 0.2486], [0.5000, 0.4997, 0.4997], [0.5000, 0.9999, 0.9999]], "ef_ev_per_atom": 0.0420, "sg": "Amm2"}



# 17
{"formula": "Pm2Dy8Pu", "functional": "PBE", "state": "relaxed", "cell": [[9.0516, -2.5082, 0.0000], [9.0516, 2.5082, 0.0000], [-2.0773, 0.0000, 7.6507]], "species": ["Pm", "Pm", "Dy", "Dy", "Dy", "Dy", "Dy", "Dy", "Dy", "Dy", "Pu"], "fractional_positions": [[0.2268, 0.2268, 0.1359], [0.7732, 0.7732, 0.8641], [0.0440, 0.0440, 0.2302], [0.1343, 0.1343, 0.6770], [0.3209, 0.3209, 0.5920], [0.4106, 0.4106, 0.0513], [0.5894, 0.5894, 0.9487], [0.6791, 0.6791, 0.4080], [0.8657, 0.8657, 0.3230], [0.9560, 0.9560, 0.7698], [0.5000, 0.5000, 0.5000]], "ef_ev_per_atom": 0.0468, "sg": "C2/m"}



# 18
{"formula": "PmDyPu", "functional": "PBE", "state": "relaxed", "cell": [[3.5556, 0.0000, 0.0000], [-1.7778, 3.0793, 0.0000], [0.0000, 0.0000, 8.5894]], "species": ["Pm", "Dy", "Pu"], "fractional_positions": [[0.0000, 0.0000, 0.0000], [0.6667, 0.3333, 0.3410], [0.3333, 0.6667, 0.6667]], "ef_ev_per_atom": 0.1357, "polymorph_energy_kcal_per_mol_atoms": 0.35, "sg": "P3m1"}



# 19
{"formula": "Pm6Dy4Pu", "functional": "PBE", "state": "relaxed", "cell": [[1.7829, -11.6916, 0.0000], [1.7829, 11.6916, 0.0000], [0.0000, 0.0000, 17.6154]], "species": ["Pm", "Pm", "Pm", "Pm", "Pm", "Pm", "Pm", "Pm", "Pm", "Pm", "Pm", "Pm", "Dy", "Dy", "Dy", "Dy", "Dy", "Dy", "Dy", "Dy", "Pu", "Pu"], "fractional_positions": [[0.0000, 0.0000, 0.0000], [0.0000, 0.0000, 0.5000], [0.2495, 0.7505, 0.7500], [0.2584, 0.7416, 0.0826], [0.2584, 0.7416, 0.4174], [0.4869, 0.5131, 0.6618], [0.4869, 0.5131, 0.8382], [0.5131, 0.4869, 0.1618], [0.5131, 0.4869, 0.3382], [0.7416, 0.2584, 0.5826], [0.7416, 0.2584, 0.9174], [0.7505, 0.2495, 0.2500], [0.1172, 0.8828, 0.6403], [0.1172, 0.8828, 0.8597], [0.3706, 0.6294, 0.5460], [0.3706, 0.6294, 0.9540], [0.6294, 0.3706, 0.0460], [0.6294, 0.3706, 0.4540], [0.8828, 0.1172, 0.1403], [0.8828, 0.1172, 0.3597], [0.1273, 0.8727, 0.2500], [0.8727, 0.1273, 0.7500]], "ef_ev_per_atom": 0.1743, "sg": "Cmcm"}